Material: Ti2BiMoCl
Method: DFT, PBE
State: relaxed

The structure in extended XYZ format:
```
5
Lattice="5.227 0.000 0.000 0.000 5.227 0.000 0.000 0.000 5.160" Properties=species:S:1:pos:R:3 pbc="T T T"
Ti 0.000 2.613 0.000
Ti 2.613 0.000 0.000
Bi 0.000 0.000 0.000
Mo 2.613 2.613 2.580
Cl 0.000 0.000 2.580
```

Calculated values
Fermi-level density of states: 5.75 states/eV/cell
formation energy (no corrections): 1835 meV per atom
calculated density: 5.1 g cm⁻³
energy: -4.63 eV per atom